No. 1
## Fe2P2O7 (PBE+U)

Data for a geometry-optimized Fe2P2O7 structure.

Cell lengths 4.564, 10.118, 5.514 Å; angles 90.00, 97.19, 90.00 degrees
Sites, in units of the cell vectors:
Fe 0.112 0.158 0.400
Fe 0.112 0.342 0.900
Fe 0.888 0.658 0.100
Fe 0.888 0.842 0.600
P 0.357 0.610 0.655
P 0.357 0.890 0.155
P 0.643 0.110 0.845
P 0.643 0.390 0.345
O 0.124 0.681 0.476
O 0.124 0.819 0.976
O 0.213 0.538 0.856
O 0.213 0.962 0.356
O 0.387 0.199 0.739
O 0.387 0.301 0.239
O 0.500 0.000 0.000
O 0.500 0.500 0.500
O 0.613 0.699 0.761
O 0.613 0.801 0.261
O 0.787 0.038 0.644
O 0.787 0.462 0.144
O 0.876 0.181 0.024
O 0.876 0.319 0.524

Output
Calculated total energy ... -7.181 eV/atom

No. 2
## FeP3O9 (PBE+U)

Data for a geometry-optimized FeP3O9 structure.

Cell lengths 8.520, 8.591, 8.652 Å; angles 90.00, 90.00, 90.00 degrees
Sites, in units of the cell vectors:
Fe 0.132 0.142 0.148
Fe 0.368 0.858 0.648
Fe 0.632 0.358 0.852
Fe 0.868 0.642 0.352
P 0.035 0.677 0.691
P 0.182 0.514 0.188
P 0.201 0.192 0.550
P 0.299 0.808 0.050
P 0.318 0.486 0.688
P 0.465 0.323 0.191
P 0.535 0.823 0.309
P 0.682 0.986 0.812
P 0.701 0.308 0.450
P 0.799 0.692 0.950
P 0.818 0.014 0.312
P 0.965 0.177 0.809
O 0.042 0.220 0.646
O 0.090 0.124 0.919
O 0.099 0.596 0.318
O 0.102 0.375 0.118
O 0.137 0.811 0.641
O 0.144 0.533 0.744
O 0.154 0.162 0.386
O 0.192 0.917 0.135
O 0.222 0.636 0.052
O 0.278 0.364 0.552
O 0.308 0.083 0.635
O 0.346 0.838 0.886
O 0.356 0.467 0.244
O 0.363 0.189 0.141
O 0.398 0.625 0.618
O 0.401 0.404 0.818
O 0.410 0.876 0.419
O 0.458 0.780 0.146
O 0.542 0.280 0.354
O 0.590 0.376 0.081
O 0.599 0.904 0.682
O 0.602 0.125 0.882
O 0.637 0.689 0.359
O 0.644 0.967 0.256
O 0.654 0.338 0.614
O 0.692 0.583 0.865
O 0.722 0.864 0.948
O 0.778 0.136 0.448
O 0.808 0.417 0.365
O 0.846 0.662 0.114
O 0.856 0.033 0.756
O 0.863 0.311 0.859
O 0.898 0.875 0.382
O 0.901 0.096 0.182
O 0.910 0.624 0.581
O 0.958 0.720 0.854

Output
Calculated total energy ... -7.138 eV/atom
Energy above the lowest structure with this stoichiometry ... 0 meV/atom

No. 3
## Fe3PO (PBE+U)

Data for a geometry-optimized Fe3PO structure.

Cell lengths 4.462, 4.462, 4.462 Å; angles 90.00, 90.00, 90.00 degrees
Sites, in units of the cell vectors:
Fe 0.000 0.000 0.500
Fe 0.000 0.500 0.000
Fe 0.500 0.000 0.000
P 0.000 0.000 0.000
O 0.500 0.500 0.500

Output
Calculated total energy ... -4.597 eV/atom

No. 4
## FeP2O7 (PBE+U)

Data for a geometry-optimized FeP2O7 structure.

Cell lengths 5.331, 6.837, 8.503 Å; angles 70.85, 89.78, 89.75 degrees
Sites, in units of the cell vectors:
Fe 0.248 0.209 0.230
Fe 0.752 0.791 0.770
P 0.247 0.115 0.660
P 0.254 0.445 0.818
P 0.746 0.555 0.182
P 0.753 0.885 0.340
O 0.011 0.010 0.751
O 0.020 0.579 0.793
O 0.243 0.144 0.476
O 0.251 0.346 0.670
O 0.254 0.267 0.982
O 0.484 0.006 0.746
O 0.491 0.574 0.790
O 0.509 0.426 0.210
O 0.516 0.994 0.254
O 0.746 0.733 0.018
O 0.749 0.654 0.330
O 0.757 0.856 0.524
O 0.980 0.421 0.207
O 0.989 0.990 0.249

Output
Calculated total energy ... -6.955 eV/atom
Energy above the lowest structure with this stoichiometry ... 0 meV/atom

No. 5
## FeP2O7 (PBE+U)

Data for a geometry-optimized FeP2O7 structure.

Cell lengths 6.569, 6.569, 6.986 Å; angles 111.38, 111.38, 79.69 degrees
Sites, in units of the cell vectors:
Fe 0.195 0.805 0.000
Fe 0.805 0.195 0.000
P 0.186 0.186 0.446
P 0.264 0.264 0.921
P 0.736 0.736 0.079
P 0.814 0.814 0.554
O 0.043 0.736 0.675
O 0.139 0.139 0.992
O 0.166 0.166 0.660
O 0.206 0.507 0.993
O 0.264 0.957 0.325
O 0.353 0.353 0.504
O 0.493 0.794 0.007
O 0.507 0.206 0.993
O 0.647 0.647 0.496
O 0.736 0.043 0.675
O 0.794 0.493 0.007
O 0.834 0.834 0.340
O 0.861 0.861 0.008
O 0.957 0.264 0.325

Output
Calculated total energy ... -6.897 eV/atom
Energy above the lowest structure with this stoichiometry ... 58 meV/atom

No. 6
## Fe7P4O20 (PBE+U)

Data for a geometry-optimized Fe7P4O20 structure.

Cell lengths 7.322, 7.396, 7.601 Å; angles 90.03, 91.53, 117.96 degrees
Sites, in units of the cell vectors:
Fe 0.000 0.000 0.000
Fe 0.000 0.500 0.000
Fe 0.245 0.257 0.755
Fe 0.275 0.768 0.275
Fe 0.500 0.500 0.500
Fe 0.725 0.232 0.725
Fe 0.755 0.743 0.245
P 0.002 0.748 0.627
P 0.489 0.753 0.878
P 0.511 0.247 0.122
P 0.998 0.252 0.373
O 0.005 0.743 0.137
O 0.063 0.435 0.247
O 0.066 0.943 0.743
O 0.178 0.778 0.508
O 0.193 0.295 0.491
O 0.306 0.694 0.005
O 0.320 0.221 0.008
O 0.418 0.573 0.745
O 0.458 0.051 0.222
O 0.495 0.708 0.354
O 0.505 0.292 0.646
O 0.542 0.949 0.778
O 0.582 0.427 0.255
O 0.680 0.779 0.992
O 0.694 0.306 0.995
O 0.807 0.705 0.509
O 0.822 0.222 0.492
O 0.934 0.057 0.257
O 0.937 0.565 0.753
O 0.995 0.257 0.863

Output
Calculated total energy ... -6.985 eV/atom

No. 7
## FeP3O11 (PBE+U)

Data for a geometry-optimized FeP3O11 structure.

Cell lengths 7.356, 7.356, 9.408 Å; angles 106.47, 106.47, 65.31 degrees
Sites, in units of the cell vectors:
Fe 0.000 0.500 0.000
Fe 0.500 0.000 0.500
P 0.091 0.237 0.281
P 0.190 0.810 0.250
P 0.237 0.091 0.781
P 0.763 0.909 0.219
P 0.810 0.190 0.750
P 0.909 0.763 0.719
O 0.010 0.135 0.681
O 0.042 0.378 0.178
O 0.104 0.719 0.644
O 0.135 0.010 0.181
O 0.204 0.633 0.120
O 0.233 0.256 0.919
O 0.256 0.233 0.419
O 0.281 0.896 0.856
O 0.298 0.702 0.750
O 0.367 0.796 0.380
O 0.378 0.042 0.678
O 0.622 0.958 0.322
O 0.633 0.204 0.620
O 0.702 0.298 0.250
O 0.719 0.104 0.144
O 0.744 0.767 0.581
O 0.767 0.744 0.081
O 0.796 0.367 0.880
O 0.865 0.990 0.819
O 0.896 0.281 0.356
O 0.958 0.622 0.822
O 0.990 0.865 0.319

Output
Calculated total energy ... -6.738 eV/atom

No. 8
## FeP2O2 (PBE+U)

Data for a geometry-optimized FeP2O2 structure.

Cell lengths 8.809, 8.809, 8.809 Å; angles 159.66, 159.66, 28.92 degrees
Sites, in units of the cell vectors:
Fe 0.000 0.000 0.000
P 0.250 0.750 0.500
P 0.750 0.250 0.500
O 0.454 0.454 0.000
O 0.546 0.546 0.000

Output
Calculated total energy ... -5.251 eV/atom
Energy above the lowest structure with this stoichiometry ... 369 meV/atom